The following is a PBE calculation of Nd2YSe after structural relaxation, from Alexandria.

**SG**: R-3m, No. 166
**Total DFT energy (no corrections)**: -0.4148 Ry per atom
**ΔE_f (raw)**: -0.773 eV/atom

```
Nd2YSe
1.0
3.917 0.000 0.000
1.959 3.392 0.000
1.959 1.131 9.740
Y Nd Se
1 2 1
Cartesian
3.917 2.262 4.870 Y
1.959 1.131 1.919 Nd
5.876 3.392 7.822 Nd
0.000 0.000 0.000 Se
```